VASP calculation (PBE-GGA) on crystalline MgCdIn6 at its relaxed geometry.

The structure belongs to space group Cmmm (No. 65); the cell edges are 8.972, 9.855 and 4.663 Å and the angles 90.00°, 90.00° and 90.00°. The distinct sites, in fractional coordinates, are Mg at (0.000, 0.000, 0.000), Cd at (0.000, 0.500, 0.000), In at (0.000, 0.241, 0.500), In at (0.244, 0.500, 0.500) and In at (0.250, 0.250, 0.000).

The value obtained for the energy relative to the elements is 0.008 eV per atom. As for the energy above the most stable polymorph in this dataset: 9 meV/atom. As for the total energy: -18.88 eV/f.u.